Entry 1:
A relaxed structure of Cs4Ac3FeSe8, computed with PBE.

Calculated values
E_form (uncorrected) (eV/atom): -1.3858

abc: 9.881 9.881 9.881
angles: 53.98 53.98 53.98
Fractional coordinates of all 16 atoms:
Cs 0.000 0.000 0.000
Cs 0.000 0.500 0.500
Cs 0.500 0.000 0.500
Cs 0.500 0.500 0.000
Ac 0.000 0.000 0.500
Ac 0.000 0.500 0.000
Ac 0.500 0.000 0.000
Fe 0.500 0.500 0.500
Se 0.234 0.234 0.234
Se 0.261 0.712 0.712
Se 0.288 0.288 0.739
Se 0.288 0.739 0.288
Se 0.712 0.261 0.712
Se 0.712 0.712 0.261
Se 0.739 0.288 0.288
Se 0.766 0.766 0.766


Entry 2:
A relaxed structure of CsAc2Ga, computed with PBE.

Calculated values
Energy relative to the elements (meV/atom): -27.8

abc: 4.054 4.054 11.373
angles: 90.00 90.00 90.00
Fractional coordinates of all 4 atoms:
Cs 0.000 0.000 0.000
Ac 0.500 0.500 0.346
Ac 0.500 0.500 0.654
Ga 0.000 0.000 0.500


Entry 3:
A relaxed structure of CsAcGa12, computed with PBE.

Calculated values
Energy relative to the elements (meV/atom): 51.4

abc: 6.001 6.001 11.989
angles: 90.00 90.00 90.00
Fractional coordinates of all 14 atoms:
Cs 0.000 0.000 0.000
Ac 0.000 0.000 0.500
Ga 0.195 0.500 0.256
Ga 0.195 0.500 0.744
Ga 0.500 0.195 0.256
Ga 0.500 0.195 0.744
Ga 0.500 0.500 0.101
Ga 0.500 0.500 0.405
Ga 0.500 0.500 0.595
Ga 0.500 0.500 0.899
Ga 0.500 0.805 0.256
Ga 0.500 0.805 0.744
Ga 0.805 0.500 0.256
Ga 0.805 0.500 0.744


Entry 4:
A relaxed structure of CsAcGa, computed with PBE.

Calculated values
Energy relative to the elements (meV/atom): -169.3

abc: 16.301 16.301 4.454
angles: 90.00 90.00 164.04
Fractional coordinates of all 6 atoms:
Cs 0.180 0.820 0.750
Cs 0.820 0.180 0.250
Ac 0.052 0.948 0.250
Ac 0.948 0.052 0.750
Ga 0.475 0.525 0.250
Ga 0.525 0.475 0.750


Entry 5:
A relaxed structure of CsAcGa4, computed with PBE.

Calculated values
Energy relative to the elements (meV/atom): -131.3

abc: 6.009 6.009 6.009
angles: 60.00 60.00 60.00
Fractional coordinates of all 6 atoms:
Cs 0.000 0.000 0.000
Ac 0.750 0.750 0.750
Ga 0.376 0.376 0.376
Ga 0.376 0.376 0.872
Ga 0.376 0.872 0.376
Ga 0.872 0.376 0.376


Entry 6:
A relaxed structure of Cs2AcGaI6, computed with PBE.

Calculated values
E_form (uncorrected) (eV/atom): -1.3232

abc: 9.013 9.013 9.190
angles: 120.27 120.27 59.98
Fractional coordinates of all 10 atoms:
Cs 0.249 0.249 0.265
Cs 0.751 0.751 0.735
Ac 0.000 0.000 0.500
Ga 0.500 0.500 0.000
I 0.201 0.697 0.695
I 0.248 0.248 0.840
I 0.303 0.799 0.305
I 0.697 0.201 0.695
I 0.752 0.752 0.160
I 0.799 0.303 0.305